Record 1
RbGeIr2 PBE relaxed; magnetization = 0.0 μB per formula unit; E_form = -0.16 eV per formula unit; SG = P-1
1.0
-2.4549 -2.6190 -1.6476
2.0387 -3.1937 -2.6976
0.8942 -9.6927 9.4702
Ir Ge Rb
4 2 2
direct
0.1299 0.7074 0.5334
0.5875 0.9209 0.4012
0.8701 0.2926 0.4666
0.4125 0.0791 0.5988
0.3023 0.5376 0.3542
0.6977 0.4624 0.6458
0.0605 0.1927 0.1783
0.9395 0.8073 0.8217

Record 2
Ac3Pr4Ag PBE relaxed; magnetization = 0.0 μB per formula unit; E_form = -0.32 eV per formula unit; SG = P4/mmm
1.0
-0.7709 -2.5980 -2.7637
2.3967 -2.5195 1.7000
-14.8947 -6.9544 10.6920
Pr Ac Ag
4 3 1
direct
0.0000 0.0000 0.3633
0.0000 0.0000 0.0931
0.0000 0.0000 0.6367
0.0000 0.0000 0.9069
0.5000 0.5000 0.7728
0.5000 0.5000 0.2272
0.5000 0.5000 0.5000
0.5000 0.5000 0.0000

Record 3
BaOs2Rh PBE relaxed; magnetization = 0.0 μB per formula unit; E_form = 5.36 eV per formula unit; SG = Cmmm
1.0
-5.2106 1.5497 -0.4955
1.0712 -5.3316 -0.4730
-0.3625 -0.3217 2.8057
Os Rh Ba
2 1 1
direct
0.0000 0.5000 0.0000
0.5000 0.0000 0.0000
0.0000 0.0000 0.5000
0.5000 0.5000 0.5000

Record 4
Ba2MgPaSe6 PBE relaxed; magnetization = 0.0 μB per formula unit; SG = P2_1/c; energy = -5.100 eV/atom
1.0
7.4024 0.0000 -0.1010
0.0000 7.7485 0.0000
-0.0761 0.0000 10.6194
Se Mg Ba Pa
12 2 4 2
direct
0.2062 0.2079 0.4649
0.2977 0.7081 0.4632
0.0722 0.4931 0.7546
0.2023 0.2081 0.0368
0.7062 0.2921 0.9649
0.7938 0.7921 0.5351
0.5722 0.0069 0.2546
0.2938 0.7079 0.0351
0.7023 0.2919 0.5368
0.4278 0.9931 0.7454
0.9278 0.5069 0.2454
0.7977 0.7919 0.9632
0.0000 0.5000 0.0000
0.5000 0.0000 0.5000
0.4764 0.4343 0.2530
0.9764 0.0657 0.7530
0.5236 0.5657 0.7470
0.0236 0.9343 0.2470
0.0000 0.5000 0.5000
0.5000 0.0000 0.0000

Record 5
ZnCrAg PBE relaxed; magnetization = 4.0 μB per formula unit; E_form = 1.57 eV per formula unit; SG = F-43m
1.0
4.2970 0.0000 0.0000
2.1485 3.7213 0.0000
2.1485 1.2404 3.5085
Cr Zn Ag
1 1 1
direct
0.5000 0.5000 0.5000
0.7500 0.7500 0.7500
0.0000 0.0000 0.0000

Record 6
VNiTeOs2 PBE relaxed; magnetization = 0.0 μB per formula unit; SG = P4/mmm; energy = -6.719 eV/atom
1.0
4.5842 0.0000 0.0000
0.0000 4.1976 0.0000
0.0000 0.0000 4.5842
Te Os Ni V
1 2 1 1
direct
0.5000 0.5000 0.5000
0.5000 0.0000 0.0000
0.0000 0.0000 0.5000
0.0000 0.0000 0.0000
0.0000 0.5000 0.0000

Record 7
Ce2SiPd2Pt4 PBE relaxed; magnetization = 1.4 μB per formula unit; SG = I4/mmm; energy = -6.663 eV/atom
1.0
-4.6483 -1.7507 -3.6661
4.2442 -4.1639 1.6615
-1.1883 1.3938 5.8954
Pt Pd Ce Si
4 2 2 1
direct
0.4635 0.7317 0.7317
0.0000 0.2683 0.7317
0.5365 0.2683 0.2683
0.0000 0.7317 0.2683
0.0000 0.7248 0.7248
0.0000 0.2752 0.2752
0.5000 0.7500 0.2500
0.5000 0.2500 0.7500
0.0000 0.0000 0.0000

Record 8
BaSr2Li2Bi2 PBE relaxed; magnetization = 0.0 μB per formula unit; E_form = -4.57 eV per formula unit; SG = R-3m
1.0
-3.4010 3.1765 1.4890
-4.6137 -1.4787 0.6332
-0.1060 -2.3061 12.6941
Sr Li Ba Bi
2 2 1 2
direct
0.8788 0.8788 0.3636
0.1212 0.1212 0.6364
0.3987 0.3987 0.8040
0.6013 0.6013 0.1960
0.0000 0.0000 0.0000
0.2695 0.2695 0.1915
0.7305 0.7305 0.8085

Record 9
KPmSm4S8 PBE relaxed; magnetization = 0.0 μB per formula unit; SG = R3m; energy = -6.042 eV/atom
1.0
8.3861 0.0000 0.0000
4.1931 7.2626 0.0000
4.1931 2.4209 6.8696
S Sm K Pm
8 4 1 1
direct
0.2347 0.7981 0.7324
0.2281 0.7569 0.2582
0.2347 0.2347 0.7324
0.2337 0.2337 0.2990
0.7574 0.7574 0.7278
0.7569 0.7569 0.2582
0.7981 0.2347 0.7324
0.7569 0.2281 0.2582
0.6251 0.6251 0.1247
0.0041 0.0041 0.5041
0.4876 0.0041 0.5041
0.0041 0.4876 0.5041
0.3744 0.3744 0.8768
0.0042 0.0042 0.9875

Record 10
SrRh2Au PBE relaxed; magnetization = 0.5 μB per formula unit; E_form = -0.67 eV per formula unit; SG = R-3m
1.0
4.5949 -0.0133 0.0963
2.3078 3.9734 0.0963
2.1860 1.2541 5.2638
Rh Au Sr
2 1 1
direct
0.4324 0.4324 0.7025
0.0676 0.0676 0.7975
0.7500 0.7500 0.7500
0.2500 0.2500 0.2500

Record 11
HfZrPb PBE relaxed; magnetization = 0.0 μB per formula unit; E_form = -0.17 eV per formula unit; SG = Fmm2
1.0
-2.3996 -1.0756 -1.8264
-1.2343 -1.5648 2.5055
-4.3932 5.9139 -0.5112
Pb Zr Hf
1 1 1
direct
0.3330 0.9287 0.1450
0.6585 0.6037 0.4954
0.0052 0.2569 0.8005

Record 12
SrLi PBE relaxed; magnetization = 0.0 μB per formula unit; E_form = 0.52 eV per formula unit; SG = P6_3mc
1.0
3.9566 0.0000 0.0000
-1.9783 3.4265 0.0000
0.0000 0.0000 12.6676
Sr Li
2 2
direct
0.6667 0.3333 0.1778
0.3333 0.6667 0.6778
0.6667 0.3333 0.9042
0.3333 0.6667 0.4042

Record 13
Sc2InSb PBE relaxed; magnetization = 0.0 μB per formula unit; SG = F-43m; energy = -4.927 eV/atom
1.0
5.1655 0.0000 0.0000
2.5828 4.4735 0.0000
2.5828 1.4912 4.2177
In Sb Sc
1 1 2
direct
0.5000 0.5000 0.5000
0.2500 0.2500 0.2500
0.0000 0.0000 0.0000
0.7500 0.7500 0.7500

Record 14
InHg4As PBE relaxed; magnetization = 0.0 μB per formula unit; E_form = 1.85 eV per formula unit; SG = F-43m
1.0
0.0000 4.2841 4.2841
4.2841 0.0000 4.2841
4.2841 4.2841 0.0000
Hg As In
4 1 1
direct
0.3745 0.3745 0.8764
0.8764 0.3745 0.3745
0.3745 0.8764 0.3745
0.3745 0.3745 0.3745
0.0000 0.0000 0.0000
0.7500 0.7500 0.7500

Record 15
Te2PCl PBE relaxed; magnetization = 0.0 μB per formula unit; SG = P2/m; energy = -3.238 eV/atom
1.0
-2.5513 -1.7200 -2.1163
1.8851 0.1820 -2.4205
1.5317 -8.0793 4.7199
P Cl Te
1 1 2
direct
0.5000 0.7500 0.7500
0.5000 0.2500 0.2500
0.0000 0.5142 0.5201
0.0000 0.9858 0.9799

Record 16
CeTh2O6 PBE relaxed; magnetization = 0.0 μB per formula unit; SG = Immm; energy = -9.362 eV/atom
1.0
4.2072 -4.2403 3.2900
-2.4365 -5.7146 2.8127
0.7683 3.6375 -5.7169
Th O Ce
2 6 1
direct
0.6657 0.1657 0.5000
0.3343 0.8343 0.5000
0.0831 0.3351 0.7479
0.9169 0.6649 0.2521
0.7540 0.0000 0.7540
0.5872 0.3351 0.2521
0.2460 0.0000 0.2460
0.4128 0.6649 0.7479
0.0000 0.5000 0.5000

Record 17
PmNd3Y2 PBE relaxed; magnetization = 0.0 μB per formula unit; E_form = 0.30 eV per formula unit; SG = C2/c
1.0
9.1438 0.1912 0.1362
0.9008 6.5600 -1.4554
0.9008 0.7674 6.6756
Y Nd Pm
4 6 2
direct
0.1224 0.6228 0.1217
0.8776 0.3772 0.8783
0.6224 0.1217 0.6228
0.3776 0.8783 0.3772
0.9853 0.8509 0.6839
0.2500 0.4351 0.5649
0.0147 0.1491 0.3161
0.5147 0.3161 0.1491
0.4853 0.6839 0.8509
0.7500 0.5649 0.4351
0.7500 0.8959 0.1041
0.2500 0.1041 0.8959

Record 18
LiDy2Ho3Se6 PBE relaxed; magnetization = 0.0 μB per formula unit; SG = C2/m; energy = -5.552 eV/atom
1.0
7.0014 -0.0084 -0.0048
-3.5063 6.0602 -0.0048
-1.1705 -2.0268 6.6070
Se Dy Ho Li
6 2 3 1
direct
0.0815 0.4053 0.2462
0.7597 0.7597 0.2445
0.4053 0.0815 0.2462
0.5947 0.9185 0.7538
0.9185 0.5947 0.7538
0.2403 0.2403 0.7555
0.3347 0.6653 0.0000
0.6653 0.3347 0.0000
0.1676 0.8324 0.5000
0.5000 0.5000 0.5000
0.8324 0.1676 0.5000
0.0000 0.0000 0.0000

Record 19
BaSi3Pd PBE relaxed; magnetization = 0.0 μB per formula unit; SG = Pm-3m; energy = -4.505 eV/atom
1.0
-0.4961 2.1638 4.3884
-4.4935 -1.9469 0.4519
1.9361 -3.9641 2.1734
Si Pd Ba
3 1 1
direct
0.5000 0.0000 0.0000
0.0000 0.0000 0.5000
0.0000 0.5000 0.0000
0.0000 0.0000 0.0000
0.5000 0.5000 0.5000

Record 20
NdLu2Pb PBE relaxed; magnetization = 0.0 μB per formula unit; E_form = -1.01 eV per formula unit; SG = P4/mmm
1.0
-2.0780 -4.2210 -1.0365
1.3255 0.4940 -4.6692
4.1973 -2.2991 0.9483
Lu Pb Nd
2 1 1
direct
0.0000 0.0000 0.5000
0.0000 0.5000 0.0000
0.5000 0.5000 0.5000
0.5000 0.0000 0.0000